(1)
This record from Alexandria via LeMat-Bulk describes a geometry-optimized AgPt2Au structure. The functional is PBE.

a b c (Å): 3.4214 3.4214 5.7524
angles (deg): 90.00 90.00 90.00
Closest atoms and distances in Å follow each position.
Space group P4/mmm (No. 123)
Inequivalent atoms, fractional coordinates:
Ag 0.0000 0.0000 0.0000 (multiplicity 1)  8 Pt 2.82, 2 Au 2.88
Pt 0.5000 0.5000 0.2514 (multiplicity 2)  4 Au 2.81, 4 Ag 2.82, 2 Pt 2.86-2.89
Au 0.0000 0.0000 0.5000 (multiplicity 1)  8 Pt 2.81, 2 Ag 2.88

Values from the calculation:
**Magnetization**: 0.00 μB/f.u.
**Energy relative to the lowest polymorph listed for this composition**: 0.1728 eV per atom
**Formation energy from the elements**: 138.8 meV/atom

(2)
This record from Alexandria via LeMat-Bulk describes a geometry-optimized Na7Hg2Au structure. The functional is PBE.

a b c (Å): 5.1842 5.1842 12.7860
angles (deg): 90.00 90.00 120.00
Closest atoms and distances in Å follow each position.
Space group P3m1 (No. 156)
Inequivalent atoms, fractional coordinates:
Na 0.0000 0.0000 0.0000 (multiplicity 1)  8 Na 3.16-3.46, 3 Au 3.48
Na 0.0000 0.0000 0.2470 (multiplicity 1)  1 Hg 3.07, 4 Na 3.16-3.40, 3 Au 3.30
Na 0.0000 0.0000 0.7296 (multiplicity 1)  4 Hg 3.10-3.31, 1 Na 3.46
Na 0.3333 0.6667 0.3864 (multiplicity 1)  1 Au 3.16, 3 Hg 3.26, 3 Na 3.48
Na 0.3333 0.6667 0.8942 (multiplicity 1)  3 Hg 3.07, 1 Au 3.13, 3 Na 3.28
Na 0.6667 0.3333 0.1214 (multiplicity 1)  3 Au 3.00
Na 0.6667 0.3333 0.5741 (multiplicity 1)  4 Hg 3.19-3.39
Hg 0.0000 0.0000 0.4869 (multiplicity 1)  8 Na 3.07-3.26
Hg 0.6667 0.3333 0.8395 (multiplicity 1)  7 Na 3.07-3.39
Au 0.3333 0.6667 0.1392 (multiplicity 1)  8 Na 3.00-3.30

Values from the calculation:
**Magnetization**: 0.00 μB/f.u.
**Formation energy from the elements**: -166.1 meV/atom

(3)
This record from Alexandria via LeMat-Bulk describes a geometry-optimized LiSiAu3 structure. The functional is PBE.

a b c (Å): 4.5110 4.5110 4.5110
angles (deg): 90.00 90.00 90.00
Closest atoms and distances in Å follow each position.
Space group Pm-3m (No. 221)
Inequivalent atoms, fractional coordinates:
Li 0.0000 0.0000 0.0000 (multiplicity 1)  6 Au 2.26
Si 0.5000 0.5000 0.5000 (multiplicity 1)  12 Au 3.19
Au 0.0000 0.0000 0.5000 (multiplicity 3)  2 Li 2.26

Values from the calculation:
**Magnetization**: 0.00 μB/f.u.
**Energy relative to the lowest polymorph listed for this composition**: 0.6983 eV per atom

Q: Which value of magnetization does entry 3 give?
A: 0.00 μB/f.u.

Q: Look up the magnetization of the second one.
A: 0.00 μB/f.u.